1.
# PrPuRh2

A relaxed PrPuRh2 crystal (PBE, Alexandria).

Cell: 5.725 5.735 11.331 Å, 93.85 90.00 90.00°
Site moments in Bohr magnetons follow the coordinates.
Positions (direct):
Rh 0.318 0.512 0.398  -0.20
Rh 0.318 0.988 0.102  -0.20
Rh 0.234 0.058 0.651  -0.20
Rh 0.766 0.942 0.349  -0.20
Rh 0.766 0.558 0.151  -0.20
Rh 0.682 0.488 0.602  -0.20
Rh 0.682 0.012 0.898  -0.20
Rh 0.234 0.442 0.849  -0.20
Pr 0.265 0.493 0.124  0.05
Pr 0.735 0.507 0.876  0.05
Pr 0.265 0.007 0.376  0.05
Pr 0.735 0.993 0.624  0.05
Pu 0.199 0.960 0.876  4.91
Pu 0.801 0.460 0.376  4.91
Pu 0.801 0.040 0.124  4.91
Pu 0.199 0.540 0.624  4.91

Magnetization   1.209 μB per atom
DFT formation energy   -0.43 eV/atom

2.
# La2Rh2F

A relaxed La2Rh2F crystal (PBE, Alexandria).

Cell: 3.963 3.963 7.990 Å, 75.64 75.64 90.00°
Positions (direct):
F 0.000 0.000 0.000
La 0.620 0.620 0.760
La 0.380 0.380 0.240
Rh 0.250 0.750 0.500
Rh 0.750 0.250 0.500

Raw formation energy   -1.1472 eV per atom
Magnetization   0.000 μB per atom
Energy relative to the lowest polymorph listed for this composition   0.158 eV/atom

3.
# Ba3Li2Pb7

A relaxed Ba3Li2Pb7 crystal (PBE, Alexandria).

Cell: 6.737 6.737 10.710 Å, 71.67 71.67 60.00°
Positions (direct):
Pb 0.070 0.580 0.771
Pb 0.420 0.930 0.229
Pb 0.930 0.420 0.229
Pb 0.420 0.420 0.229
Pb 0.580 0.580 0.771
Pb 0.580 0.070 0.771
Pb 0.500 0.500 0.500
Ba 0.000 0.000 0.000
Ba 0.141 0.141 0.576
Ba 0.859 0.859 0.424
Li 0.336 0.336 0.992
Li 0.664 0.664 0.008

Magnetization   0.000 μB per atom
DFT formation energy   -0.43 eV/atom

4.
# LiMo2Se

A relaxed LiMo2Se crystal (PBE, Alexandria).

Cell: 2.904 2.904 8.607 Å, 90.00 90.00 111.95°
Positions (direct):
Se 0.000 0.000 0.500
Mo 0.000 0.000 0.016
Mo 0.500 0.500 0.242
Li 0.500 0.500 0.742

Raw formation energy   0.1595 eV per atom
Magnetization   0.000 μB per atom

5.
# TbNdIn2Se4

A relaxed TbNdIn2Se4 crystal (PBE, Alexandria).

Cell: 4.227 8.105 7.326 Å, 72.50 90.00 90.00°
Positions (direct):
Tb 0.000 0.500 0.500
Se 0.000 0.286 0.245
Se 0.500 0.289 0.730
Se 0.500 0.711 0.270
Se 0.000 0.714 0.755
Nd 0.500 0.500 0.000
In 0.500 0.000 0.500
In 0.000 0.000 0.000

Raw formation energy   -1.2946 eV per atom
Magnetization   0.000 μB per atom

6.
# SrPH

A relaxed SrPH crystal (PBE, Alexandria).

Cell: 4.369 4.369 4.676 Å, 117.86 117.86 90.00°
Positions (direct):
P 0.357 0.357 0.713
H 0.561 0.561 0.123
Sr 0.932 0.932 0.864

Magnetization   0.000 μB per atom
Energy relative to the lowest polymorph listed for this composition   0.096 eV/atom

7.
# LaPmIrRh

A relaxed LaPmIrRh crystal (PBE, Alexandria).

Cell: 5.033 5.033 5.033 Å, 60.00 60.00 60.00°
Positions (direct):
La 0.250 0.250 0.250
Rh 0.500 0.500 0.500
Ir 0.000 0.000 0.000
Pm 0.750 0.750 0.750

Magnetization   0.000 μB per atom
Energy relative to the lowest polymorph listed for this composition   0.056 eV/atom
DFT formation energy   -0.64 eV/atom

8.
# Li2HfAgSe4

A relaxed Li2HfAgSe4 crystal (PBE, Alexandria).

Cell: 3.831 7.040 6.862 Å, 112.77 90.00 90.00°
Positions (direct):
Se 0.000 0.723 0.264
Se 0.000 0.277 0.736
Se 0.500 0.253 0.222
Se 0.500 0.747 0.778
Li 0.500 0.000 0.500
Li 0.000 0.500 0.500
Hf 0.500 0.500 0.000
Ag 0.000 0.000 0.000

Raw formation energy   -0.9299 eV per atom
Magnetization   0.000 μB per atom

9.
# TlCdHgPb

A relaxed TlCdHgPb crystal (PBE, Alexandria).

Cell: 5.422 5.422 5.422 Å, 60.00 60.00 60.00°
Positions (direct):
Cd 0.750 0.750 0.750
Hg 0.250 0.250 0.250
Tl 0.000 0.000 0.000
Pb 0.500 0.500 0.500

Magnetization   0.000 μB per atom
Energy relative to the lowest polymorph listed for this composition   0.037 eV/atom
DFT formation energy   0.06 eV/atom

10.
# TlRe2Ni

A relaxed TlRe2Ni crystal (PBE, Alexandria).

Cell: 4.652 5.607 2.828 Å, 75.71 89.27 114.31°
Positions (direct):
Re 0.500 0.000 0.500
Re 0.000 0.000 0.000
Tl 0.000 0.500 0.500
Ni 0.500 0.500 0.000

Magnetization   0.000 μB per atom
Energy relative to the lowest polymorph listed for this composition   0.285 eV/atom
DFT formation energy   0.80 eV/atom

11.
# TbEr5Sc

A relaxed TbEr5Sc crystal (PBE, Alexandria).

Cell: 3.543 9.081 13.489 Å, 101.89 90.00 90.00°
Site moments in Bohr magnetons follow the coordinates.
Positions (direct):
Er 0.250 0.800 0.113  -0.02
Er 0.750 0.993 0.633  0.02
Er 0.750 0.200 0.887  -0.02
Er 0.750 0.326 0.507  0.07
Er 0.250 0.007 0.367  0.02
Er 0.750 0.581 0.917  0.00
Er 0.250 0.419 0.083  0.00
Er 0.250 0.348 0.723  0.01
Er 0.250 0.674 0.493  0.07
Er 0.750 0.652 0.277  0.01
Sc 0.250 0.352 0.308  0.05
Sc 0.750 0.648 0.692  0.05
Tb 0.250 0.885 0.862  0.00
Tb 0.750 0.115 0.138  0.00

Magnetization   0.025 μB per atom
Energy relative to the lowest polymorph listed for this composition   0.000 eV/atom
DFT formation energy   0.07 eV/atom

12.
# Cr2ReOs

A relaxed Cr2ReOs crystal (PBE, Alexandria).

Cell: 4.009 2.677 5.164 Å, 74.04 90.00 90.00°
Positions (direct):
Os 0.000 0.452 0.489
Cr 0.000 0.075 0.020
Cr 0.500 0.179 0.234
Re 0.500 0.794 0.758

Magnetization   0.000 μB per atom
DFT formation energy   0.11 eV/atom